Entry 1:
Below is a relaxed structure of TbPrCdHg, with properties calculated at the PBE level.

a b c (Å): 5.3896 5.3896 5.3896
angles (deg): 60.00 60.00 60.00
Sites, in units of the cell vectors:
Tb1 0.5000 0.5000 0.5000
Hg1 0.2500 0.2500 0.2500
Pr1 0.0000 0.0000 0.0000
Cd1 0.7500 0.7500 0.7500

Summary:
SG	F-43m (216)
distance to the lowest polymorph of the same formula	10	meV per atom
crystal system	cubic

---

Entry 2:
Below is a relaxed structure of TbPr2CdHg4, with properties calculated at the PBE level.

a b c (Å): 5.2543 5.2543 9.4187
angles (deg): 73.80 73.80 60.00
Sites, in units of the cell vectors:
Pr1 0.7587 0.7587 0.7240
Pr2 0.2413 0.2413 0.2760
Hg1 0.3670 0.3670 0.8989
Hg2 0.6330 0.6330 0.1011
Hg3 0.8786 0.8786 0.3642
Hg4 0.1214 0.1214 0.6358
Tb1 0.0000 0.0000 0.0000
Cd1 0.5000 0.5000 0.5000

Summary:
SG	R-3m (166)
crystal system	trigonal

---

Entry 3:
Below is a relaxed structure of TbPrCd2Hg4, with properties calculated at the PBE level.

a b c (Å): 5.1560 5.1560 8.9640
angles (deg): 73.29 73.29 60.00
Sites, in units of the cell vectors:
Hg1 0.1276 0.1276 0.6171
Hg2 0.6221 0.6221 0.1336
Hg3 0.8724 0.8724 0.3829
Hg4 0.3779 0.3779 0.8664
Cd1 0.7499 0.7499 0.7503
Cd2 0.2501 0.2501 0.2497
Pr1 0.0000 0.0000 0.0000
Tb1 0.5000 0.5000 0.5000

Summary:
SG	R-3m (166)
crystal system	trigonal

---

Entry 4:
Below is a relaxed structure of Tb2PrCdHg4, with properties calculated at the PBE level.

a b c (Å): 5.1317 5.1317 9.5952
angles (deg): 74.49 74.49 60.00
Sites, in units of the cell vectors:
Pr1 0.0000 0.0000 0.0000
Hg1 0.8760 0.8760 0.3721
Hg2 0.3791 0.3791 0.8627
Hg3 0.6209 0.6209 0.1373
Hg4 0.1240 0.1240 0.6279
Tb1 0.7608 0.7608 0.7175
Tb2 0.2392 0.2392 0.2825
Cd1 0.5000 0.5000 0.5000

Summary:
SG	R-3m (166)
crystal system	trigonal

---

Entry 5:
Below is a relaxed structure of TbPrCdHg, with properties calculated at the PBE level.

a b c (Å): 3.7783 3.7783 7.7485
angles (deg): 90.00 90.00 90.00
Sites, in units of the cell vectors:
Pr1 0.5000 0.5000 0.1077
Cd1 0.0000 0.0000 0.8399
Hg1 0.0000 0.0000 0.3777
Tb1 0.5000 0.5000 0.6026

Summary:
SG	P4mm (99)
distance to the lowest polymorph of the same formula	0	meV per atom
crystal system	tetragonal

---

Entry 6:
Below is a relaxed structure of PrThCdHg, with properties calculated at the PBE level.

a b c (Å): 5.4464 5.4464 5.4464
angles (deg): 60.00 60.00 60.00
Sites, in units of the cell vectors:
Cd1 0.7500 0.7500 0.7500
Hg1 0.2500 0.2500 0.2500
Th1 0.0000 0.0000 0.0000
Pr1 0.5000 0.5000 0.5000

Summary:
SG	F-43m (216)
crystal system	cubic

---

no.,formation enthalpy at 0 K (meV per atom),calculated density (kg/m3),total magnetic moment (μB/cell)
1,-385.4,9193,0.9
2,-447.5,10558,0.0
3,-396.8,11320,0.0
4,-415.1,10958,0.0
5,-395.7,9200,0.7
6,-226.1,9971,0.0